## FeHgPH (PBE)

Data for an optimized crystal structure of FeHgPH.

Values from the calculation:
- uncorrected energy (eV per cell) = -34.54
- energy relative to the lowest polymorph listed for this composition (kJ per mole of atoms) = 0.0
- SG = Amm2
- total magnetic moment (μB per formula unit) = 0.283
- N(E_F) (states/eV/f.u.) = 1.420

Unit cell a=2.950 b=2.814 c=12.420 alpha=90.00 beta=90.00 gamma=90.00
Sites, in units of the cell vectors:
P 0.500 0.500 0.266
Hg 0.500 0.000 0.977
Hg 0.500 0.500 0.477
Fe 0.000 0.000 0.178
H 0.000 0.500 0.105
Fe 0.000 0.500 0.678
H 0.000 0.000 0.605
P 0.500 0.000 0.766